(1)
Computed, not measured: a relaxed structure of ZnInNi2 at the PBE level of DFT.

Unit cell a=8.073 b=8.073 c=8.073 alpha=20.90 beta=20.90 gamma=20.90
Atoms (fractional coordinates):
In1 0.750 0.750 0.750
Ni1 0.996 0.996 0.996
Ni2 0.504 0.504 0.504
Zn1 0.250 0.250 0.250

Values from the calculation:
For the calculated formation energy, the calculation gives 0.06 eV per atom. The calculation puts the density of states at the Fermi level at 1.930 states/eV/f.u. As for the theoretical density: 8.43 Mg/m³. The spin magnetization comes out at 0.000 μB per cell.

(2)
Computed, not measured: a relaxed structure of Fe2GeHRh at the PBE level of DFT.

Unit cell a=3.658 b=3.658 c=4.033 alpha=90.00 beta=90.00 gamma=90.00
Last column: magnetic moment on the atom in μB.
Atoms (fractional coordinates):
H1 0.000 0.000 0.000  -0.02
Ge1 0.500 0.500 0.500  -0.10
Rh1 0.000 0.000 0.500  0.03
Fe1 0.000 0.500 0.000  2.28
Fe2 0.500 0.000 0.000  2.28

Values from the calculation:
The final energy comes out at -6.564 eV/atom. The calculation puts the density of states at the Fermi level at 3.011 states/eV/f.u. As for the theoretical density: 8.87 Mg/m³. The spin magnetization comes out at 4.423 μB per cell.

(3)
Computed, not measured: a relaxed structure of NpPaSe3 at the PBE level of DFT.

Unit cell a=4.076 b=4.076 c=20.293 alpha=90.00 beta=90.00 gamma=120.00
Last column: magnetic moment on the atom in μB.
Atoms (fractional coordinates):
Np1 0.000 0.000 0.959  3.71
Np2 0.000 0.000 0.459  3.71
Pa1 0.667 0.333 0.292  -0.60
Pa2 0.333 0.667 0.792  -0.60
Se1 0.000 0.000 0.713  0.01
Se2 0.000 0.000 0.213  0.01
Se3 0.667 0.333 0.876  -0.03
Se4 0.333 0.667 0.376  -0.03
Se5 0.333 0.667 0.035  -0.12
Se6 0.667 0.333 0.535  -0.12

Values from the calculation:
Its offset from the most stable computed form is 0.511 eV per formula unit. The calculation puts the density of states at the Fermi level at 12.233 states/eV/f.u. As for the theoretical density: 8.02 Mg/m³. The spin magnetization comes out at 6.139 μB per cell. The uncorrected formation energy comes out at -1.19 eV/atom.

(4)
Computed, not measured: a relaxed structure of TmZnSn2 at the PBE level of DFT.

Unit cell a=4.349 b=4.599 c=4.599 alpha=90.00 beta=90.00 gamma=90.00
Atoms (fractional coordinates):
Zn1 0.500 0.000 0.000
Tm1 0.500 0.500 0.500
Sn1 0.000 0.000 0.500
Sn2 0.000 0.500 0.000

Values from the calculation:
For the calculated formation energy, the calculation gives -0.38 eV per atom. Its offset from the most stable computed form is 0.124 eV per formula unit. The calculation puts the density of states at the Fermi level at 1.138 states/eV/f.u. As for the theoretical density: 8.52 Mg/m³. The spin magnetization comes out at 0.000 μB per cell.